# 1
A relaxed NbCoPt2 crystal. Source: the Alexandria database, functional PBE.

Properties
crystal system: orthorhombic
calculated total energy: -7.85 eV per atom
total moment: 2.48 μB per cell
space group: No. 59

abc: 4.4565 4.8882 5.4724
angles: 90.01 90.00 90.00
Element x y z (fractional)
Nb1 0.2500 0.3471 0.2500
Nb2 0.7500 0.6529 0.7500
Co1 0.2500 0.3296 0.7500
Co2 0.7500 0.6704 0.2500
Pt1 0.2500 0.8276 0.4981
Pt2 0.7500 0.1724 0.5019
Pt3 0.2500 0.8276 0.0021
Pt4 0.7500 0.1724 0.9979


# 2
A relaxed LaTh2Mg crystal. Source: the Alexandria database, functional PBE.

Properties
crystal system: tetragonal
calculated total energy: -5.27 eV per atom
total moment: 0.00 μB per cell
space group: No. 123

abc: 5.0748 4.9747 4.9747
angles: 90.00 90.00 90.00
Element x y z (fractional)
Mg1 0.5000 0.0000 0.0000
Th1 0.0000 0.0000 0.5000
Th2 0.0000 0.5000 0.0000
La1 0.5000 0.5000 0.5000


# 3
A relaxed InGaTc3 crystal. Source: the Alexandria database, functional PBE.

Properties
crystal system: cubic
calculated total energy: -6.14 eV per atom
total moment: 3.68 μB per cell
space group: No. 221

abc: 4.5856 4.5856 4.5856
angles: 90.00 90.00 90.00
Element x y z (fractional)
Tc1 0.0000 0.5000 0.0000
Tc2 0.0000 0.0000 0.5000
Tc3 0.5000 0.0000 0.0000
Ga1 0.0000 0.0000 0.0000
In1 0.5000 0.5000 0.5000


# 4
A relaxed HoErCdPt crystal. Source: the Alexandria database, functional PBE.

Properties
crystal system: cubic
calculated total energy: -4.77 eV per atom
total moment: 0.00 μB per cell
space group: No. 216

abc: 5.0619 5.0619 5.0619
angles: 60.00 60.00 60.00
Element x y z (fractional)
Cd1 0.5000 0.5000 0.5000
Ho1 0.7500 0.7500 0.7500
Pt1 0.0000 0.0000 0.0000
Er1 0.2500 0.2500 0.2500


# 5
A relaxed Ac3Si2N6 crystal. Source: the Alexandria database, functional PBE.

Properties
crystal system: tetragonal
uncorrected formation energy: -0.927 eV per atom
total moment: 0.00 μB per cell
space group: No. 139

abc: 3.8559 3.8559 11.0005
angles: 100.09 100.09 90.00
Element x y z (fractional)
Ac1 0.0000 0.0000 0.0000
Ac2 0.8183 0.8183 0.6365
Ac3 0.1817 0.1817 0.3635
Si1 0.3936 0.3936 0.7872
Si2 0.6064 0.6064 0.2128
N1 0.0875 0.5875 0.1750
N2 0.5875 0.0875 0.1750
N3 0.9125 0.4125 0.8250
N4 0.4125 0.9125 0.8250
N5 0.6901 0.6901 0.3802
N6 0.3099 0.3099 0.6198


# 6
A relaxed DyY2MgRh4 crystal. Source: the Alexandria database, functional PBE.

Properties
crystal system: trigonal
calculated total energy: -6.85 eV per atom
total moment: 0.00 μB per cell
space group: No. 166

abc: 4.7547 4.7547 8.2403
angles: 73.23 73.23 60.00
Element x y z (fractional)
Dy1 0.0000 0.0000 0.0000
Y1 0.7552 0.7552 0.7344
Y2 0.2448 0.2448 0.2656
Mg1 0.5000 0.5000 0.5000
Rh1 0.3759 0.3759 0.8722
Rh2 0.8756 0.8756 0.3733
Rh3 0.1244 0.1244 0.6267
Rh4 0.6241 0.6241 0.1278


# 7
A relaxed K2BaSc crystal. Source: the Alexandria database, functional PBE.

Properties
crystal system: orthorhombic
calculated total energy: -2.09 eV per atom
total moment: 2.26 μB per cell
space group: No. 44

abc: 8.1175 8.1175 8.1175
angles: 150.14 127.05 61.98
Element x y z (fractional)
Ba1 0.2776 0.7776 0.5000
K1 0.9956 0.9956 0.0000
K2 0.7321 0.2321 0.5000
Sc1 0.4947 0.4947 0.0000


# 8
A relaxed Sr2CaCdSb2 crystal. Source: the Alexandria database, functional PBE.

Properties
crystal system: orthorhombic
uncorrected formation energy: -0.741 eV per atom
total moment: 0.00 μB per cell
space group: No. 72

abc: 6.7425 6.9568 9.9096
angles: 110.55 109.89 90.00
Element x y z (fractional)
Sr1 0.4735 0.1710 0.3420
Sr2 0.5265 0.8290 0.6580
Sr3 0.1316 0.3290 0.6580
Sr4 0.8684 0.6710 0.3420
Ca1 0.0000 0.7500 0.0000
Ca2 0.0000 0.2500 0.0000
Cd1 0.5000 0.7500 0.0000
Cd2 0.5000 0.2500 0.0000
Sb1 0.9395 0.1358 0.2717
Sb2 0.3322 0.6358 0.2717
Sb3 0.6678 0.3642 0.7283
Sb4 0.0605 0.8642 0.7283


# 9
A relaxed Na2PrTeSe4 crystal. Source: the Alexandria database, functional PBE.

Properties
crystal system: monoclinic
uncorrected formation energy: -1.004 eV per atom
total moment: 0.00 μB per cell
space group: No. 15

abc: 8.4507 8.4507 8.5172
angles: 118.29 118.29 89.42
Element x y z (fractional)
Na1 0.5000 0.0000 0.0000
Na2 0.5000 0.0000 0.5000
Na3 0.0000 0.0000 0.5000
Na4 0.5000 0.5000 0.0000
Pr1 0.0000 0.5000 0.0000
Pr2 0.0000 0.5000 0.5000
Te1 0.5000 0.5000 0.5000
Te2 0.0000 0.0000 0.0000
Se1 0.2266 0.7485 0.9773
Se2 0.7515 0.2734 0.5227
Se3 0.2485 0.7266 0.4773
Se4 0.7734 0.2515 0.0227
Se5 0.7821 0.7811 0.0251
Se6 0.7189 0.7179 0.4749
Se7 0.2811 0.2821 0.5251
Se8 0.2179 0.2189 0.9749


# 10
A relaxed Dy2AgGe4Pd3 crystal. Source: the Alexandria database, functional PBE.

Properties
crystal system: tetragonal
calculated total energy: -5.26 eV per atom
total moment: 0.00 μB per cell
space group: No. 115

abc: 4.2426 4.2426 10.5573
angles: 90.00 90.00 90.00
Element x y z (fractional)
Dy1 0.5000 0.0000 0.2517
Dy2 0.0000 0.5000 0.7483
Ag1 0.5000 0.5000 0.5000
Ge1 0.5000 0.5000 0.0000
Ge2 0.0000 0.0000 0.0000
Ge3 0.5000 0.0000 0.6411
Ge4 0.0000 0.5000 0.3589
Pd1 0.0000 0.0000 0.5000
Pd2 0.5000 0.0000 0.8702
Pd3 0.0000 0.5000 0.1298


# 11
A relaxed In6AgHg crystal. Source: the Alexandria database, functional PBE.

Properties
crystal system: triclinic
calculated total energy: -2.38 eV per atom
total moment: 0.00 μB per cell
space group: No. 2

abc: 4.5329 7.5278 7.6483
angles: 66.88 71.19 70.59
Element x y z (fractional)
In1 0.8817 0.4446 0.8245
In2 0.6030 0.0747 0.7449
In3 0.7171 0.2107 0.2858
In4 0.3970 0.9253 0.2551
In5 0.1183 0.5554 0.1755
In6 0.2829 0.7893 0.7142
Ag1 0.0000 0.0000 0.0000
Hg1 0.5000 0.5000 0.5000


# 12
A relaxed BaGeSe2 crystal. Source: the Alexandria database, functional PBE.

Properties
crystal system: tetragonal
uncorrected formation energy: -0.881 eV per atom
total moment: 0.00 μB per cell
space group: No. 122

abc: 6.6601 6.6601 8.4564
angles: 66.81 66.81 90.00
Element x y z (fractional)
Ge1 0.5000 0.5000 0.0000
Ge2 0.2500 0.7500 0.5000
Ba1 0.0000 0.0000 0.0000
Ba2 0.7500 0.2500 0.5000
Se1 0.5622 0.1250 0.2500
Se2 0.1878 0.6250 0.2500
Se3 0.3750 0.4378 0.7500
Se4 0.8750 0.8122 0.7500


# 13
A relaxed BaNiSb4 crystal. Source: the Alexandria database, functional PBE.

Properties
crystal system: cubic
uncorrected formation energy: 0.147 eV per atom
total moment: 0.53 μB per cell
space group: No. 216

abc: 6.3177 6.3177 6.3177
angles: 60.00 60.00 60.00
Element x y z (fractional)
Ba1 0.7500 0.7500 0.7500
Ni1 0.0000 0.0000 0.0000
Sb1 0.8808 0.3731 0.3731
Sb2 0.3731 0.3731 0.8808
Sb3 0.3731 0.8808 0.3731
Sb4 0.3731 0.3731 0.3731


# 14
A relaxed LiDyTiRu crystal. Source: the Alexandria database, functional PBE.

Properties
crystal system: cubic
calculated total energy: -6.09 eV per atom
total moment: 0.00 μB per cell
space group: No. 216

abc: 4.6504 4.6504 4.6504
angles: 60.00 60.00 60.00
Element x y z (fractional)
Ru1 0.5000 0.5000 0.5000
Ti1 0.2500 0.2500 0.2500
Li1 0.0000 0.0000 0.0000
Dy1 0.7500 0.7500 0.7500


# 15
A relaxed CoAs2Cl8 crystal. Source: the Alexandria database, functional PBE.

Properties
crystal system: monoclinic
uncorrected formation energy: -0.582 eV per atom
total moment: 3.00 μB per cell
space group: No. 12

abc: 7.8267 7.5552 7.5552
angles: 59.25 93.68 93.68
Element x y z (fractional)
Co1 0.0000 0.0000 0.0000
As1 0.6539 0.8572 0.8572
As2 0.3461 0.1428 0.1428
Cl1 0.1476 0.3552 0.9141
Cl2 0.8524 0.0859 0.6448
Cl3 0.2467 0.9225 0.9225
Cl4 0.7533 0.0775 0.0775
Cl5 0.1476 0.9141 0.3552
Cl6 0.8524 0.6448 0.0859
Cl7 0.5959 0.6888 0.6888
Cl8 0.4041 0.3112 0.3112


# 16
A relaxed TiBeSe2Br crystal. Source: the Alexandria database, functional PBE.

Properties
crystal system: tetragonal
uncorrected formation energy: 0.074 eV per atom
total moment: 0.00 μB per cell
space group: No. 123

abc: 4.9204 4.9204 5.1732
angles: 90.00 90.00 90.00
Element x y z (fractional)
Be1 0.5000 0.5000 0.5000
Se1 0.0000 0.5000 0.0000
Se2 0.5000 0.0000 0.0000
Br1 0.0000 0.0000 0.5000
Ti1 0.0000 0.0000 0.0000


# 17
A relaxed Zn2ClO crystal. Source: the Alexandria database, functional PBE.

Properties
crystal system: triclinic
uncorrected formation energy: -0.992 eV per atom
total moment: 0.00 μB per cell
space group: No. 1

abc: 5.1037 5.4999 6.0105
angles: 65.86 74.12 69.68
Element x y z (fractional)
Zn1 0.5290 0.5490 0.4324
Zn2 0.7049 0.0517 0.4202
Zn3 0.0835 0.1816 0.4834
Zn4 0.2950 0.6139 0.9400
Cl1 0.1229 0.3349 0.8199
Cl2 0.7917 0.8530 0.0932
O1 0.3703 0.3987 0.2676
O2 0.4231 0.8189 0.6011


# 18
A relaxed Nd6Er5 crystal. Source: the Alexandria database, functional PBE.

Properties
crystal system: monoclinic
calculated total energy: -4.55 eV per atom
total moment: 0.00 μB per cell
space group: No. 12

abc: 10.2814 8.4296 6.0679
angles: 74.09 63.29 52.42
Element x y z (fractional)
Nd1 0.8158 0.0000 0.5935
Nd2 0.1842 0.0000 0.4065
Nd3 0.3265 0.7194 0.8860
Nd4 0.9541 0.7194 0.1140
Nd5 0.6735 0.2806 0.1140
Nd6 0.0459 0.2806 0.8860
Er1 0.5000 0.0000 0.5000
Er2 0.3706 0.2587 0.0000
Er3 0.6294 0.7413 0.0000
Er4 0.2334 0.5332 0.5000
Er5 0.7666 0.4668 0.5000


# 19
A relaxed FeSi2W2 crystal. Source: the Alexandria database, functional PBE.

Properties
crystal system: tetragonal
uncorrected formation energy: -0.135 eV per atom
total moment: 0.00 μB per cell
space group: No. 127

abc: 5.8134 5.8134 3.9813
angles: 90.00 90.00 90.00
Element x y z (fractional)
Si1 0.3579 0.8579 0.0000
Si2 0.8579 0.6421 0.0000
Si3 0.6421 0.1421 0.0000
Si4 0.1421 0.3579 0.0000
Fe1 0.0000 0.0000 0.0000
Fe2 0.5000 0.5000 0.0000
W1 0.1680 0.6680 0.5000
W2 0.6680 0.8320 0.5000
W3 0.8320 0.3320 0.5000
W4 0.3320 0.1680 0.5000


# 20
A relaxed FeMoP crystal. Source: the Alexandria database, functional PBE.

Properties
crystal system: orthorhombic
calculated total energy: -8.23 eV per atom
total moment: 0.00 μB per cell
space group: No. 44

abc: 4.3223 4.3223 4.3223
angles: 142.27 128.07 65.96
Element x y z (fractional)
Fe1 0.9947 0.9947 0.0000
Mo1 0.3356 0.3356 0.0000
P1 0.6697 0.6697 0.0000


# 21
A relaxed NdGa4Pt12 crystal. Source: the Alexandria database, functional PBE.

Properties
crystal system: cubic
calculated total energy: -5.42 eV per atom
total moment: 0.00 μB per cell
space group: No. 204

abc: 7.4436 7.4436 7.4436
angles: 109.47 109.47 109.47
Element x y z (fractional)
Nd1 0.0000 0.0000 0.0000
Ga1 0.0000 0.5000 0.0000
Ga2 0.5000 0.0000 0.0000
Ga3 0.5000 0.5000 0.5000
Ga4 0.0000 0.0000 0.5000
Pt1 0.8470 0.3464 0.1934
Pt2 0.3464 0.4994 0.1530
Pt3 0.8066 0.1530 0.6536
Pt4 0.3464 0.1934 0.8470
Pt5 0.1934 0.8470 0.3464
Pt6 0.6536 0.5006 0.8470
Pt7 0.4994 0.1530 0.3464
Pt8 0.5006 0.8470 0.6536
Pt9 0.6536 0.8066 0.1530
Pt10 0.8470 0.6536 0.5006
Pt11 0.1530 0.3464 0.4994
Pt12 0.1530 0.6536 0.8066


# 22
A relaxed La9Co3Pb2 crystal. Source: the Alexandria database, functional PBE.

Properties
crystal system: monoclinic
calculated total energy: -5.44 eV per atom
total moment: 0.00 μB per cell
space group: No. 15

abc: 9.4998 9.4998 12.2163
angles: 87.11 112.86 124.42
Element x y z (fractional)
La1 0.3625 0.9070 0.7521
La2 0.6375 0.0930 0.2479
La3 0.6549 0.6104 0.7479
La4 0.3451 0.3896 0.2521
La5 0.3628 0.5533 0.9265
La6 0.6372 0.4467 0.0735
La7 0.1268 0.4363 0.5735
La8 0.8732 0.5637 0.4265
La9 0.8913 0.1413 0.7500
La10 0.1087 0.8587 0.2500
La11 0.1738 0.9936 0.9583
La12 0.8262 0.0064 0.0417
La13 0.5354 0.2155 0.5417
La14 0.4646 0.7845 0.4583
La15 0.8854 0.8520 0.5572
La16 0.1146 0.1480 0.4428
La17 0.7948 0.3281 0.9428
La18 0.2052 0.6719 0.0572
Co1 0.5000 0.0000 0.0000
Co2 0.5000 0.5000 0.5000
Co3 0.8012 0.1296 0.5158
Co4 0.1988 0.8704 0.4842
Co5 0.1138 0.2854 0.9842
Co6 0.8862 0.7146 0.0158
Pb1 0.3176 0.2328 0.7575
Pb2 0.6824 0.7672 0.2425
Pb3 0.9752 0.5601 0.7425
Pb4 0.0248 0.4399 0.2575


# 23
A relaxed Mn2BSe crystal. Source: the Alexandria database, functional PBE.

Properties
crystal system: cubic
uncorrected formation energy: 0.398 eV per atom
total moment: 0.00 μB per cell
space group: No. 225

abc: 3.8962 3.8962 3.8962
angles: 60.00 60.00 60.00
Element x y z (fractional)
B1 0.0000 0.0000 0.0000
Mn1 0.2500 0.2500 0.2500
Mn2 0.7500 0.7500 0.7500
Se1 0.5000 0.5000 0.5000


| no. | DOS at the Fermi energy (states/eV/cell) |
| --- | --- |
| 1 | 7.339 |
| 2 | 4.820 |
| 3 | 7.633 |
| 4 | 2.823 |
| 5 | 2.056 |
| 6 | 2.609 |
| 7 | 5.733 |
| 8 | 2.754 |
| 9 | 2.659 |
| 10 | 4.234 |
| 11 | 3.370 |
| 12 | 0.000 |
| 13 | 7.534 |
| 14 | 3.840 |
| 15 | 2.981 |
| 16 | 3.604 |
| 17 | 0.000 |
| 18 | 17.799 |
| 19 | 10.731 |
| 20 | 2.693 |
| 21 | 9.310 |
| 22 | 27.293 |
| 23 | 3.040 |